1.
DFT (PBE-GGA) results for crystalline LaSi3Cl at its relaxed geometry.

Size of the total moment ... 0.00 μB per formula unit
Energy relative to the elements, uncorrected ... 395 meV per atom

POSCAR file:
```
LaSi3Cl
1.0
4.8258 0.0000 0.0000
0.0000 4.8258 0.0000
0.0000 0.0000 4.8258
La Si Cl
1 3 1
Cartesian
0.0000 0.0000 0.0000
0.0000 2.4129 2.4129
2.4129 0.0000 2.4129
2.4129 2.4129 0.0000
2.4129 2.4129 2.4129
```

2.
DFT (PBE-GGA) results for crystalline Be2SbW at its relaxed geometry.

Size of the total moment ... 0.00 μB per formula unit
Energy relative to the elements, uncorrected ... 356 meV per atom

POSCAR file:
```
Be2SbW
1.0
3.2840 0.0000 0.0000
0.0000 3.2840 0.0000
0.0000 0.0000 5.3242
Be Sb W
2 1 1
Cartesian
0.0000 0.0000 1.0540
0.0000 0.0000 4.2702
1.6420 1.6420 2.6621
1.6420 1.6420 0.0000
```

3.
DFT (PBE-GGA) results for crystalline FeCu2Tc at its relaxed geometry.

Size of the total moment ... 0.00 μB per formula unit
DFT formation energy ... 49.2 kJ/mol of atoms

POSCAR file:
```
FeCu2Tc
1.0
0.0000 2.9058 2.9058
2.9058 0.0000 2.9058
2.9058 2.9058 0.0000
Fe Cu Tc
1 2 1
Cartesian
0.0000 0.0000 0.0000
1.4529 1.4529 1.4529
4.3586 4.3586 4.3586
2.9058 2.9058 2.9058
```

4.
DFT (PBE-GGA) results for crystalline GaBH3 at its relaxed geometry.

Size of the total moment ... 0.00 μB per formula unit
Calculated total energy ... -13.9 eV per cell

POSCAR file:
```
GaBH3
1.0
3.5680 0.0000 0.0000
0.0000 3.5680 0.0000
0.0000 0.0000 3.5680
Ga B H
1 1 3
Cartesian
0.0000 0.0000 0.0000
1.7840 1.7840 1.7840
0.0000 0.0000 1.7840
0.0000 1.7840 0.0000
1.7840 0.0000 0.0000
```

What is the formula in the second record?
Be2SbW